The following is a DFT calculation (PBE-GGA) of a relaxed Pr2YGa crystal.

Cell: 12.2299 12.2299 12.2299 Å, 16.79 16.79 16.79°
Closest atoms and distances in Å follow each position.
Fractional positions:
Pr1 0.0858 0.0858 0.0858  1 Ga 3.10
Pr2 0.9142 0.9142 0.9142  1 Ga 3.10
Y1 0.5000 0.5000 0.5000  6 Y 3.57, 6 Pr 3.58
Ga1 0.0000 0.0000 0.0000  2 Pr 3.10

Summary:
V, Å³ per atom: 33.301
DFT total energy, eV per atom: -4.60
Energy relative to the elements, eV/atom: 0.161
Density of states at the Fermi level, states/eV per cell: 4.56